No. 1
A plane-wave DFT calculation with GGA-PBE was carried out for MgZnTc2 after structural relaxation.

The structure in CIF format:
```
data_MgZnTc2
_space_group_name_H-M_alt 'I -4 2 d'
_space_group_IT_number 122
_space_group_name_Hall 'I -4 2bw'
_cell_length_a 7.256
_cell_length_b 7.256
_cell_length_c 4.997
_cell_angle_alpha 90.00
_cell_angle_beta 90.00
_cell_angle_gamma 90.00
loop_
_atom_site_label
_atom_site_type_symbol
_atom_site_fract_x
_atom_site_fract_y
_atom_site_fract_z
_atom_site_occupancy
Mg1 Mg 0.000 0.000 0.000 1
Zn1 Zn 0.000 0.000 0.500 1
Tc1 Tc 0.220 0.250 0.625 1
```

Results
Uncorrected energy: -5.249 eV/atom
Density of states at the Fermi level: 2.99 states/eV/f.u.
DFT formation energy: 0.651 eV/atom
Offset from the most stable computed form: 702.6 meV/atom

No. 2
A plane-wave DFT calculation with GGA-PBE was carried out for BaHgH2 after structural relaxation.

The structure in CIF format:
```
data_BaHgH2
_space_group_name_H-M_alt 'P n m a'
_space_group_IT_number 62
_cell_length_a 7.762
_cell_length_b 6.129
_cell_length_c 7.227
_cell_angle_alpha 90.00
_cell_angle_beta 90.00
_cell_angle_gamma 90.00
loop_
_space_group_symop_operation_xyz
'x,y,z'
'-x,-y,-z'
'-x+1/2,-y,z+1/2'
'x+1/2,y,-z+1/2'
'x+1/2,-y+1/2,-z+1/2'
'-x+1/2,y+1/2,z+1/2'
'-x,y+1/2,-z'
'x,-y+1/2,z'
loop_
_atom_site_label
_atom_site_type_symbol
_atom_site_fract_x
_atom_site_fract_y
_atom_site_fract_z
_atom_site_occupancy
Ba1 Ba 0.154 0.250 0.142 1
Hg1 Hg 0.046 0.250 0.629 1
H1 H 0.133 0.507 0.849 1
```

Results
Uncorrected energy: -2.535 eV/atom
Offset from the most stable computed form: 0.0 meV/atom

No. 3
A plane-wave DFT calculation with GGA-PBE was carried out for RbHfTiF2 after structural relaxation.

The structure in CIF format:
```
data_RbHfTiF2
_space_group_name_H-M_alt 'P 4/m m m'
_space_group_IT_number 123
_space_group_name_Hall '-P 4 2'
_cell_length_a 4.482
_cell_length_b 4.482
_cell_length_c 5.144
_cell_angle_alpha 90.00
_cell_angle_beta 90.00
_cell_angle_gamma 90.00
loop_
_atom_site_label
_atom_site_type_symbol
_atom_site_fract_x
_atom_site_fract_y
_atom_site_fract_z
_atom_site_occupancy
Rb1 Rb 0.000 0.000 0.000 1
Hf1 Hf 0.500 0.500 0.000 1
Ti1 Ti 0.500 0.500 0.500 1
F1 F 0.000 0.500 0.500 1
```

Results
Uncorrected energy: -5.083 eV/atom
Density of states at the Fermi level: 6.56 states/eV/f.u.
Raw formation energy: -0.5709 eV/atom

No. 4
A plane-wave DFT calculation with GGA-PBE was carried out for CsCoCu2Cl8 after structural relaxation.

The structure in CIF format:
```
data_CsCoCu2Cl8
_space_group_name_H-M_alt 'C 1 2/m 1'
_space_group_IT_number 12
_cell_length_a 9.608
_cell_length_b 6.887
_cell_length_c 10.230
_cell_angle_alpha 90.00
_cell_angle_beta 90.55
_cell_angle_gamma 90.00
loop_
_space_group_symop_operation_xyz
'x,y,z'
'-x,-y,-z'
'-x,y,-z'
'x,-y,z'
'x+1/2,y+1/2,z'
'-x+1/2,-y+1/2,-z'
'-x+1/2,y+1/2,-z'
'x+1/2,-y+1/2,z'
loop_
_atom_site_label
_atom_site_type_symbol
_atom_site_fract_x
_atom_site_fract_y
_atom_site_fract_z
_atom_site_occupancy
Cs1 Cs 0.000 0.000 0.000 1
Co1 Co 0.000 0.000 0.500 1
Cu1 Cu 0.144 0.500 0.320 1
Cl1 Cl 0.000 0.227 0.339 1
Cl2 Cl 0.155 0.500 0.107 1
Cl3 Cl 0.236 0.000 0.494 1
```

Results
Uncorrected energy: -3.310 eV/atom
Density of states at the Fermi level: 7.15 states/eV/f.u.
Raw formation energy: -0.7328 eV/atom

No. 5
A plane-wave DFT calculation with GGA-PBE was carried out for Hf8Zr2Re after structural relaxation.

The structure in CIF format:
```
data_Hf8Zr2Re
_space_group_name_H-M_alt 'C 1 2/m 1'
_space_group_IT_number 12
_cell_length_a 17.003
_cell_length_b 4.949
_cell_length_c 5.710
_cell_angle_alpha 90.00
_cell_angle_beta 93.73
_cell_angle_gamma 90.00
loop_
_space_group_symop_operation_xyz
'x,y,z'
'-x,-y,-z'
'-x,y,-z'
'x,-y,z'
'x+1/2,y+1/2,z'
'-x+1/2,-y+1/2,-z'
'-x+1/2,y+1/2,-z'
'x+1/2,-y+1/2,z'
loop_
_atom_site_label
_atom_site_type_symbol
_atom_site_fract_x
_atom_site_fract_y
_atom_site_fract_z
_atom_site_occupancy
Hf1 Hf 0.042 0.000 0.265 1
Hf2 Hf 0.077 0.500 0.607 1
Hf3 Hf 0.151 0.000 0.808 1
Hf4 Hf 0.157 0.500 0.127 1
Zr1 Zr 0.239 0.000 0.334 1
Re1 Re 0.000 0.500 0.000 1
```

Results
Uncorrected energy: -9.970 eV/atom
Density of states at the Fermi level: 9.35 states/eV/f.u.
DFT formation energy: -0.045 eV/atom

No. 6
A plane-wave DFT calculation with GGA-PBE was carried out for TiHIrRu2 after structural relaxation.

The structure in CIF format:
```
data_TiHIrRu2
_space_group_name_H-M_alt 'P 4/m m m'
_space_group_IT_number 123
_space_group_name_Hall '-P 4 2'
_cell_length_a 3.907
_cell_length_b 3.907
_cell_length_c 3.926
_cell_angle_alpha 90.00
_cell_angle_beta 90.00
_cell_angle_gamma 90.00
loop_
_atom_site_label
_atom_site_type_symbol
_atom_site_fract_x
_atom_site_fract_y
_atom_site_fract_z
_atom_site_occupancy
Ti1 Ti 0.000 0.000 0.000 1
H1 H 0.500 0.500 0.500 1
Ir1 Ir 0.500 0.500 0.000 1
Ru1 Ru 0.000 0.500 0.500 1
```

Results
Uncorrected energy: -8.040 eV/atom
Density of states at the Fermi level: 5.95 states/eV/f.u.
Offset from the most stable computed form: 43.7 meV/atom